1.
{"formula": "YEr3Bi", "functional": "PBE", "state": "relaxed", "lattice_angstrom": [[-6.4172, -5.3164, 1.7583], [3.8379, -6.3200, -5.1021], [1.8913, 0.7803, 9.2623]], "species": ["Er", "Er", "Er", "Er", "Er", "Er", "Er", "Er", "Er", "Er", "Er", "Er", "Y", "Y", "Y", "Y", "Bi", "Bi", "Bi", "Bi"], "fractional_positions": [[0.5657, 0.7103, 0.4292], [0.4343, 0.2897, 0.5708], [0.6886, 0.4244, 0.9624], [0.5910, 0.9043, 0.2032], [0.8114, 0.4244, 0.4624], [0.9343, 0.7103, 0.9292], [0.3114, 0.5756, 0.0376], [0.0910, 0.0957, 0.2968], [0.4090, 0.0957, 0.7968], [0.1886, 0.5756, 0.5376], [0.9090, 0.9043, 0.7032], [0.0657, 0.2897, 0.0708], [0.9353, 0.7090, 0.2830], [0.5647, 0.7090, 0.7830], [0.4353, 0.2910, 0.2170], [0.0647, 0.2910, 0.7170], [0.2484, 0.9032, 0.9503], [0.7516, 0.0968, 0.0497], [0.2516, 0.9032, 0.4503], [0.7484, 0.0968, 0.5497]], "total_energy_ev_per_atom": -5.03, "spacegroup": "P2_1/c (14)"}

***

2.
{"formula": "LiTm2Th3Se6", "functional": "PBE", "state": "relaxed", "lattice_angstrom": [[-3.4681, -0.7057, 1.7420], [3.7095, -5.8381, 5.0202], [2.0640, 8.6212, 3.1353]], "species": ["Se", "Se", "Se", "Se", "Se", "Se", "Th", "Th", "Th", "Tm", "Tm", "Li"], "fractional_positions": [[0.6568, 0.0911, 0.3136], [0.0033, 0.2306, 0.0066], [0.6722, 0.5706, 0.3444], [0.9967, 0.7694, 0.9934], [0.3278, 0.4294, 0.6556], [0.3432, 0.9089, 0.6864], [0.8323, 0.1658, 0.6647], [0.5000, 0.5000, 0.0000], [0.1677, 0.8342, 0.3353], [0.1641, 0.3295, 0.3283], [0.8359, 0.6705, 0.6717], [0.5000, 0.0000, 0.0000]], "total_energy_ev_per_atom": -6.09, "formation_energy_uncorrected_mev_per_atom": -1585, "spacegroup": "C2/m (12)"}

***

3.
{"formula": "La5Tb2NdY", "functional": "PBE", "state": "relaxed", "lattice_angstrom": [[5.5394, 0.0000, 0.0000], [-2.7697, 10.9490, 0.0000], [0.0000, 0.0000, 10.6671]], "species": ["La", "La", "La", "La", "La", "La", "La", "La", "La", "La", "Y", "Y", "Nd", "Nd", "Tb", "Tb", "Tb", "Tb"], "fractional_positions": [[0.6226, 0.2452, 0.5082], [0.5000, 0.0000, 0.7582], [0.7215, 0.4430, 0.8176], [0.2785, 0.5570, 0.3176], [0.7213, 0.4427, 0.1990], [0.3774, 0.7548, 0.0082], [0.9999, 0.9999, 0.5082], [0.2787, 0.5573, 0.6990], [0.0001, 0.0001, 0.0082], [0.5000, 0.0000, 0.2582], [0.6006, 0.2012, 0.0082], [0.3994, 0.7988, 0.5082], [0.7861, 0.5722, 0.5083], [0.2139, 0.4278, 0.0083], [0.1126, 0.2253, 0.2577], [0.8874, 0.7747, 0.7577], [0.8872, 0.7745, 0.2586], [0.1128, 0.2255, 0.7586]], "total_energy_ev_per_atom": -4.89, "spacegroup": "Cmcm (63)"}

***

4.
{"formula": "MgScP2", "functional": "PBE", "state": "relaxed", "lattice_angstrom": [[-1.0512, -3.2175, -0.9564], [1.3610, -1.1513, 2.3772], [-5.1114, 0.2767, 4.6872]], "species": ["Sc", "Mg", "P", "P"], "fractional_positions": [[0.5000, 0.2500, 0.2500], [0.5000, 0.7500, 0.7500], [0.0000, 0.5661, 0.4897], [0.0000, 0.9339, 0.0103]], "total_energy_ev_per_atom": -5.30, "spacegroup": "P2/m (10)"}